Record 1
# Ce6InBi PBE relaxed
data_Ce6InBi
_symmetry_space_group_name_H-M 'P 4/m m m'
_symmetry_Int_Tables_number 123
_symmetry_space_group_name_Hall '-P 4 2'
_cell_length_a 4.821
_cell_length_b 4.821
_cell_length_c 9.612
_cell_angle_alpha 90.00
_cell_angle_beta 90.00
_cell_angle_gamma 90.00
loop_
_atom_site_label
_atom_site_type_symbol
_atom_site_fract_x
_atom_site_fract_y
_atom_site_fract_z
Ce1 Ce 0.000 0.000 0.000
Ce2 Ce 0.000 0.000 0.500
Ce3 Ce 0.000 0.500 0.249
In1 In 0.500 0.500 0.000
Bi1 Bi 0.500 0.500 0.500
# - volume (Å³ per cell) = 223.37
# - uncorrected energy (eV for the cell shown) = -44.63
# - ΔE_f (meV/atom) = -300.9
# - M_tot (μB/cell) = 5.60

***

Record 2
# Nd2TlO PBE relaxed
data_Nd2TlO
_symmetry_space_group_name_H-M 'R -3 m'
_symmetry_Int_Tables_number 166
_symmetry_space_group_name_Hall '-R 3 2"'
_cell_length_a 3.7373
_cell_length_b 3.7373
_cell_length_c 23.6239
_cell_angle_alpha 90.00
_cell_angle_beta 90.00
_cell_angle_gamma 120.00
loop_
_atom_site_label
_atom_site_type_symbol
_atom_site_fract_x
_atom_site_fract_y
_atom_site_fract_z
Nd1 Nd 0.0000 0.0000 0.2243
Tl1 Tl 0.0000 0.0000 0.0000
O1 O 0.0000 0.0000 0.5000
# - volume (Å³ per cell) = 285.76
# - uncorrected energy (eV for the cell shown) = -68.57
# - formation energy from raw total energies (eV/atom) = -1.50
# - M_tot (μB/cell) = 0.00
# - distance to the lowest polymorph of the same formula (meV per atom) = 53.6